Record 1
# LiTa2Au

A relaxed structure of LiTa2Au (GGA-PBE, Alexandria).

The structure belongs to space group C2/m (No. 12); the cell edges are 5.359, 9.861 and 2.757 Å and the angles 90.00°, 109.50° and 90.00°. The inequivalent atoms are Li at (0.000, 0.000, 0.000), Ta at (0.250, 0.250, 0.500) and Au at (0.000, 0.500, 0.000).

The calculation puts the energy relative to the elements at 136 meV/atom. Its magnetic moment is 0.00 μB per formula unit.

***

Record 2
# LiTaAu

A relaxed structure of LiTaAu (GGA-PBE, Alexandria).

The structure belongs to space group I4mm (No. 107); the cell edges are 2.836, 2.836 and 12.407 Å and the angles 90.00°, 90.00° and 90.00°. The inequivalent atoms are Li at (0.000, 0.000, 0.000), Ta at (0.000, 0.000, 0.319) and Au at (0.000, 0.000, 0.646).

The calculation puts the energy relative to the elements at 93 meV/atom. Its magnetic moment is 0.00 μB per formula unit.

***

Record 3
# LiTaAu2

A relaxed structure of LiTaAu2 (GGA-PBE, Alexandria).

The structure belongs to space group R-3m (No. 166, hexagonal axes); the cell edges are 2.9473, 2.9473 and 27.3318 Å and the angles 90.00°, 90.00° and 120.00°. The inequivalent atoms are Li at (0.0000, 0.0000, 0.0000), Ta at (0.0000, 0.0000, 0.5000) and Au at (0.0000, 0.0000, 0.2533).

The calculation puts the energy relative to the elements at -79 meV/atom. Its magnetic moment is 0.00 μB per formula unit.